Entry from Alexandria: an optimized crystal structure of Ba2NdOs3O12 (PBE-GGA).

## Properties
formation energy without anion corrections = -1.746 eV per atom
size of the total moment = 3.78 μB per formula unit
DOS(E_F) = 8.66 states/eV/f.u.

a b c (Å): 7.4015 7.4015 16.4780
angles (deg): 90.00 90.00 120.00
Space group R-3m (No. 166, hexagonal axes)
Inequivalent atoms, fractional coordinates:
Ba  0.0000  0.0000  0.1132 (multiplicity 6)
Nd  0.0000  0.0000  0.5000 (multiplicity 3)
Os  0.0000  0.5000  0.0000 (multiplicity 9)
O  0.0313  0.5157  0.8859 (multiplicity 18)
O  0.0727  0.5363  0.3185 (multiplicity 18)

Entry from Alexandria: an optimized crystal structure of BaNdOs2O8 (PBE-GGA).

## Properties
formation energy without anion corrections = -1.639 eV per atom
size of the total moment = 3.01 μB per formula unit
DOS(E_F) = 5.38 states/eV/f.u.

a b c (Å): 6.0023 6.0023 7.7526
angles (deg): 90.00 90.00 120.00
Space group P-3 (No. 147)
Inequivalent atoms, fractional coordinates:
Ba  0.0000  0.0000  0.0000 (multiplicity 1)
Nd  0.0000  0.0000  0.5000 (multiplicity 1)
Os  0.3333  0.6667  0.7849 (multiplicity 2)
O  0.1654  0.8328  0.7056 (multiplicity 6)
O  0.3333  0.6667  0.0170 (multiplicity 2)

Entry from Alexandria: an optimized crystal structure of Ba2NdPbO6 (PBE-GGA).

## Properties
formation energy without anion corrections = -2.158 eV per atom
size of the total moment = 1.09 μB per formula unit
DOS(E_F) = 10.06 states/eV/f.u.

a b c (Å): 6.295 6.285 10.845
angles (deg): 90.00 125.06 90.00
Space group P2_1/c (No. 14)
Inequivalent atoms, fractional coordinates:
Ba  0.240  0.024  0.249 (multiplicity 4)
Nd  0.500  0.000  0.000 (multiplicity 2)
Pb  0.000  0.000  0.500 (multiplicity 2)
O  0.174  0.233  0.957 (multiplicity 4)
O  0.224  0.719  0.958 (multiplicity 4)
O  0.319  0.020  0.742 (multiplicity 4)

Number 1 is which compound? Ba2NdOs3O12

Repeat the first record exactly.
Entry from Alexandria: an optimized crystal structure of Ba2NdOs3O12 (PBE-GGA).

## Properties
formation energy without anion corrections = -1.746 eV per atom
size of the total moment = 3.78 μB per formula unit
DOS(E_F) = 8.66 states/eV/f.u.

a b c (Å): 7.4015 7.4015 16.4780
angles (deg): 90.00 90.00 120.00
Space group R-3m (No. 166, hexagonal axes)
Inequivalent atoms, fractional coordinates:
Ba  0.0000  0.0000  0.1132 (multiplicity 6)
Nd  0.0000  0.0000  0.5000 (multiplicity 3)
Os  0.0000  0.5000  0.0000 (multiplicity 9)
O  0.0313  0.5157  0.8859 (multiplicity 18)
O  0.0727  0.5363  0.3185 (multiplicity 18)

What did the first record say?
Entry from Alexandria: an optimized crystal structure of Ba2NdOs3O12 (PBE-GGA).

## Properties
formation energy without anion corrections = -1.746 eV per atom
size of the total moment = 3.78 μB per formula unit
DOS(E_F) = 8.66 states/eV/f.u.

a b c (Å): 7.4015 7.4015 16.4780
angles (deg): 90.00 90.00 120.00
Space group R-3m (No. 166, hexagonal axes)
Inequivalent atoms, fractional coordinates:
Ba  0.0000  0.0000  0.1132 (multiplicity 6)
Nd  0.0000  0.0000  0.5000 (multiplicity 3)
Os  0.0000  0.5000  0.0000 (multiplicity 9)
O  0.0313  0.5157  0.8859 (multiplicity 18)
O  0.0727  0.5363  0.3185 (multiplicity 18)